No. 1
SmYSn | GGA-PBE | optimized geometry

## Properties
Energy of formation   -0.35 eV per atom
D(E_F)   14.77 states/eV/cell
Offset from the most stable computed form   255.3 meV per atom
VASP energy   -5.407 eV/atom

Cell lengths 11.9490, 3.5815, 8.8315 Å; angles 90.00, 92.29, 90.00 degrees
Space group C2/m (No. 12)
Asymmetric unit:
1 Sm 0.1395 0.0000 0.3267 x4
2 Y 0.1361 0.0000 0.9103 x4
3 Sn 0.0953 0.5000 0.6224 x4

=====

No. 2
Hg2SbRu | GGA-PBE | optimized geometry

## Properties
Formation energy from raw total energies   0.4811 eV per atom
D(E_F)   7.90 states/eV/cell
VASP energy   -3.019 eV/atom

Cell lengths 4.3540, 4.3540, 8.5835 Å; angles 90.00, 90.00, 90.00 degrees
Space group I-4m2 (No. 119)
Asymmetric unit:
1 Hg 0.0000 0.0000 0.0000 x2
2 Hg 0.0000 0.5000 0.2500 x2
3 Sb 0.0000 0.0000 0.5000 x2
4 Ru 0.0000 0.5000 0.7500 x2

=====

No. 3
Ac3Pm5Zr12 | GGA-PBE | optimized geometry

## Properties
Energy of formation   1.27 eV per atom
D(E_F)   300.80 states/eV/cell
VASP energy   -5.665 eV/atom

Cell lengths 18.2914, 18.2914, 18.2914 Å; angles 90.00, 90.00, 90.00 degrees
Space group Ia-3d (No. 230)
Asymmetric unit:
1 Ac 0.0000 0.2500 0.1250 x24
2 Pm 0.0000 0.0000 0.0000 x16
3 Pm 0.0000 0.2500 0.3750 x24
4 Zr 0.0095 0.0796 0.1452 x96

=====

No. 4
Hf3ScOs | GGA-PBE | optimized geometry

## Properties
Energy of formation   -0.08 eV per atom
D(E_F)   16.74 states/eV/cell
Offset from the most stable computed form   0.0 meV per atom
VASP energy   -9.568 eV/atom

Cell lengths 10.5543, 7.8076, 7.1091 Å; angles 90.00, 128.18, 90.00 degrees
Space group C2/m (No. 12)
Asymmetric unit:
1 Hf 0.0738 0.0000 0.2734 x4
2 Hf 0.1931 0.1966 0.7268 x8
3 Sc 0.0496 0.5000 0.3171 x4
4 Os 0.2367 0.0000 0.0876 x4

=====

No. 5
ZnBiI | GGA-PBE | optimized geometry

## Properties
Formation energy from raw total energies   -0.2225 eV per atom
VASP energy   -2.458 eV/atom

Cell lengths 12.9424, 4.2469, 9.1522 Å; angles 90.00, 108.42, 90.00 degrees
Space group C2/m (No. 12)
Asymmetric unit:
1 Zn 0.0789 0.0000 0.1272 x4
2 Bi 0.1783 0.0000 0.8980 x4
3 I 0.0972 0.5000 0.3206 x4

=====

No. 6
GeTeRh3 | GGA-PBE | optimized geometry

## Properties
Formation energy from raw total energies   0.4128 eV per atom
D(E_F)   6.37 states/eV/cell
Offset from the most stable computed form   0.0 meV per atom
VASP energy   -5.550 eV/atom

Cell lengths 4.5939, 4.5939, 4.5939 Å; angles 90.00, 90.00, 90.00 degrees
Space group Pm-3m (No. 221)
Asymmetric unit:
1 Ge 0.0000 0.0000 0.0000 x1
2 Te 0.5000 0.5000 0.5000 x1
3 Rh 0.0000 0.0000 0.5000 x3

=====

No. 7
LaTb2TmS4 | GGA-PBE | optimized geometry

## Properties
Formation energy from raw total energies   -2.0117 eV per atom
D(E_F)   4.79 states/eV/cell
VASP energy   -6.408 eV/atom

Cell lengths 6.8450, 3.9217, 6.9511 Å; angles 90.00, 108.93, 90.00 degrees
Space group P2/m (No. 10)
Asymmetric unit:
1 La 0.0000 0.0000 0.0000 x1
2 Tb 0.5000 0.0000 0.5000 x1
3 Tb 0.5000 0.5000 0.0000 x1
4 Tm 0.0000 0.5000 0.5000 x1
5 S 0.2492 0.0000 0.7381 x2
6 S 0.2588 0.5000 0.2652 x2

=====

No. 8
LiBe | GGA-PBE | optimized geometry

## Properties
Energy of formation   0.85 eV per atom
D(E_F)   10.82 states/eV/cell
Offset from the most stable computed form   719.2 meV per atom
VASP energy   -1.972 eV/atom

Cell lengths 7.5842, 7.5842, 7.5842 Å; angles 90.00, 90.00, 90.00 degrees
Space group I-43m (No. 217)
Asymmetric unit:
1 Li 0.2120 0.2120 0.2120 x8
2 Be 0.0944 0.0944 0.9056 x8

=====

No. 9
LiPrTh2Te4 | GGA-PBE | optimized geometry

## Properties
Formation energy from raw total energies   -1.1531 eV per atom
D(E_F)   4.77 states/eV/cell
VASP energy   -5.416 eV/atom

Cell lengths 7.4647, 4.2927, 8.0923 Å; angles 90.00, 107.52, 90.00 degrees
Space group P2/m (No. 10)
Asymmetric unit:
1 Li 0.0000 0.0000 0.0000 x1
2 Pr 0.5000 0.5000 0.0000 x1
3 Th 0.0000 0.5000 0.5000 x1
4 Th 0.5000 0.0000 0.5000 x1
5 Te 0.2342 0.5000 0.2362 x2
6 Te 0.2386 0.0000 0.7589 x2

=====

No. 10
YTi2Mn | GGA-PBE | optimized geometry

## Properties
Energy of formation   0.04 eV per atom
D(E_F)   5.56 states/eV/cell
Offset from the most stable computed form   0.0 meV per atom
VASP energy   -7.818 eV/atom

Cell lengths 3.0714, 3.0714, 7.7937 Å; angles 90.00, 90.00, 90.00 degrees
Space group P4/mmm (No. 123)
Asymmetric unit:
1 Y 0.0000 0.0000 0.0000 x1
2 Ti 0.5000 0.5000 0.3232 x2
3 Mn 0.0000 0.0000 0.5000 x1

=====

No. 11
Tb2PmPr6Sc | GGA-PBE | optimized geometry

## Properties
Energy of formation   0.23 eV per atom
D(E_F)   37.69 states/eV/cell
VASP energy   -4.671 eV/atom

Cell lengths 11.5986, 6.9689, 8.8703 Å; angles 90.00, 102.49, 90.00 degrees
Space group C2/m (No. 12)
Asymmetric unit:
1 Tb 0.0926 0.0000 0.1584 x4
2 Pm 0.0000 0.0000 0.5000 x2
3 Pr 0.1259 0.5000 0.4002 x4
4 Pr 0.1621 0.2448 0.8004 x8
5 Sc 0.0000 0.5000 0.0000 x2

=====

No. 12
NbInMo2Au | GGA-PBE | optimized geometry

## Properties
Energy of formation   1.56 eV per atom
D(E_F)   4.52 states/eV/cell
VASP energy   -5.991 eV/atom

Cell lengths 4.7481, 4.7481, 5.3079 Å; angles 90.00, 90.00, 90.00 degrees
Space group P4/mmm (No. 123)
Asymmetric unit:
1 Nb 0.0000 0.0000 0.0000 x1
2 In 0.0000 0.0000 0.5000 x1
3 Mo 0.0000 0.5000 0.0000 x2
4 Au 0.5000 0.5000 0.5000 x1